Entry from Alexandria via LeMat-Bulk: LaAl2Hg after structural relaxation (PBE).

Cell lengths 4.8362, 4.8362, 18.7340 Å; angles 90.00, 90.00, 90.00 degrees
With the nearest neighbours (Å) after each atom.
Space group I-42d (No. 122)
One atom of each set of equivalent atoms:
1 La 0.0000 0.0000 0.0000 (multiplicity 4)  4 Al 3.28, 4 Hg 3.42
2 Al 0.0973 0.2500 0.6250 (multiplicity 8)  2 Al 2.59, 2 Hg 2.68
3 Hg 0.0000 0.0000 0.5000 (multiplicity 4)  4 Al 2.68

Calculated values
- E_form: -0.0802 eV/atom